Entry i
First-principles (PBE-GGA) data for an optimized crystal structure of Ti3SbBr, as listed in the Alexandria database.

Cell lengths 5.2953, 5.2953, 5.2953 Å; angles 90.00, 90.00, 90.00 degrees
Space group Pm-3m (No. 221)
Unique sites:
Ti 0.0000 0.0000 0.5000 [3 per cell]
Sb 0.0000 0.0000 0.0000 [1 per cell]
Br 0.5000 0.5000 0.5000 [1 per cell]

---

Entry ii
First-principles (PBE-GGA) data for an optimized crystal structure of Ti3SbBr, as listed in the Alexandria database.

Cell lengths 4.6927, 4.6927, 4.6927 Å; angles 90.00, 90.00, 90.00 degrees
Space group Pm-3m (No. 221)
Unique sites:
Ti 0.0000 0.0000 0.5000 [3 per cell]
Sb 0.5000 0.5000 0.5000 [1 per cell]
Br 0.0000 0.0000 0.0000 [1 per cell]

---

What should be chosen as the most stable of them? Choose entry ii.

---

Entry i
First-principles (PBE-GGA) data for an optimized crystal structure of TlSbBr, as listed in the Alexandria database.

Cell lengths 3.8546, 3.8546, 14.5030 Å; angles 90.00, 90.00, 90.00 degrees
Space group P4/nmm (No. 129, origin choice 2)
Unique sites:
Tl 0.2500 0.2500 0.1107 [2 per cell]
Sb 0.2500 0.2500 0.4495 [2 per cell]
Br 0.2500 0.2500 0.7851 [2 per cell]

---

Entry ii
First-principles (PBE-GGA) data for an optimized crystal structure of TlSbBr, as listed in the Alexandria database.

Cell lengths 4.6674, 5.1691, 14.5718 Å; angles 90.00, 90.00, 90.00 degrees
Space group Fmm2 (No. 42)
Unique sites:
Tl 0.0000 0.0000 0.0000 [4 per cell]
Sb 0.0000 0.0000 0.6774 [4 per cell]
Br 0.0000 0.0000 0.3451 [4 per cell]

---

Entry iii
First-principles (PBE-GGA) data for an optimized crystal structure of TlSbBr, as listed in the Alexandria database.

Cell lengths 7.4109, 7.4109, 7.4109 Å; angles 90.00, 90.00, 90.00 degrees
Space group F-43m (No. 216)
Unique sites:
Tl 0.0000 0.0000 0.0000 [4 per cell]
Sb 0.2500 0.2500 0.7500 [4 per cell]
Br 0.0000 0.0000 0.5000 [4 per cell]

---

Entry iv
First-principles (PBE-GGA) data for an optimized crystal structure of TlSbBr, as listed in the Alexandria database.

Cell lengths 3.4816, 3.4816, 14.5423 Å; angles 90.00, 90.00, 90.00 degrees
Space group I4mm (No. 107)
Unique sites:
Tl 0.0000 0.0000 0.0000 [2 per cell]
Sb 0.0000 0.0000 0.6801 [2 per cell]
Br 0.0000 0.0000 0.3496 [2 per cell]

---

What should be chosen as the most stable of them? Choose entry i.

---

Entry i
First-principles (PBE-GGA) data for an optimized crystal structure of TlSbBr, as listed in the Alexandria database.

Cell lengths 3.5984, 5.5079, 10.7728 Å; angles 90.00, 90.00, 90.00 degrees
Space group Imm2 (No. 44)
Unique sites:
Tl 0.0000 0.0000 0.0000 [2 per cell]
Sb 0.0000 0.0000 0.4411 [2 per cell]
Br 0.0000 0.0000 0.6857 [2 per cell]

---

Entry ii
First-principles (PBE-GGA) data for an optimized crystal structure of TlSbBr, as listed in the Alexandria database.

Cell lengths 3.6407, 3.6407, 7.6041 Å; angles 90.00, 90.00, 120.00 degrees
Space group P3m1 (No. 156)
Unique sites:
Tl 0.0000 0.0000 0.0000 [1 per cell]
Sb 0.3333 0.6667 0.6472 [1 per cell]
Br 0.6667 0.3333 0.3250 [1 per cell]

---

Entry iii
First-principles (PBE-GGA) data for an optimized crystal structure of TlSbBr, as listed in the Alexandria database.

Cell lengths 5.4168, 5.4168, 3.5125 Å; angles 90.00, 90.00, 120.00 degrees
Space group P-6m2 (No. 187)
Unique sites:
Tl 0.0000 0.0000 0.0000 [1 per cell]
Sb 0.3333 0.6667 0.5000 [1 per cell]
Br 0.6667 0.3333 0.5000 [1 per cell]

---

What should be chosen as the most stable of them? Choose entry i.

---

Entry i
First-principles (PBE-GGA) data for an optimized crystal structure of Tl2Sb2Br, as listed in the Alexandria database.

Cell lengths 9.3131, 9.3131, 3.7769 Å; angles 90.00, 90.00, 90.00 degrees
Space group P4/mbm (No. 127)
Unique sites:
Tl 0.1873 0.3127 0.0000 [4 per cell]
Sb 0.1081 0.6081 0.5000 [4 per cell]
Br 0.0000 0.0000 0.5000 [2 per cell]

---

Entry ii
First-principles (PBE-GGA) data for an optimized crystal structure of Tl2Sb2Br, as listed in the Alexandria database.

Cell lengths 5.7598, 5.7598, 9.9674 Å; angles 90.00, 90.00, 90.00 degrees
Space group I4/mmm (No. 139)
Unique sites:
Tl 0.0000 0.5000 0.2500 [4 per cell]
Sb 0.0000 0.0000 0.1405 [4 per cell]
Br 0.0000 0.0000 0.5000 [2 per cell]

---

Entry iii
First-principles (PBE-GGA) data for an optimized crystal structure of Tl2Sb2Br, as listed in the Alexandria database.

Cell lengths 4.2651, 4.2651, 19.0233 Å; angles 90.00, 90.00, 90.00 degrees
Space group I4/mmm (No. 139)
Unique sites:
Tl 0.0000 0.0000 0.0950 [4 per cell]
Sb 0.0000 0.5000 0.2500 [4 per cell]
Br 0.0000 0.0000 0.5000 [2 per cell]

---

What should be chosen as the most stable of them? Choose entry iii.

---

Entry i
First-principles (PBE-GGA) data for an optimized crystal structure of Tl3SbBr, as listed in the Alexandria database.

Cell lengths 6.1696, 6.1696, 6.1696 Å; angles 90.00, 90.00, 90.00 degrees
Space group Pm-3m (No. 221)
Unique sites:
Tl 0.0000 0.0000 0.5000 [3 per cell]
Sb 0.0000 0.0000 0.0000 [1 per cell]
Br 0.5000 0.5000 0.5000 [1 per cell]

---

Entry ii
First-principles (PBE-GGA) data for an optimized crystal structure of Tl3SbBr, as listed in the Alexandria database.

Cell lengths 6.0229, 6.0229, 6.0229 Å; angles 90.00, 90.00, 90.00 degrees
Space group Pm-3m (No. 221)
Unique sites:
Tl 0.0000 0.0000 0.5000 [3 per cell]
Sb 0.5000 0.5000 0.5000 [1 per cell]
Br 0.0000 0.0000 0.0000 [1 per cell]

---

What should be chosen as the most stable of them? Choose entry i.

---

Entry i
First-principles (PBE-GGA) data for an optimized crystal structure of TlSb2Br6, as listed in the Alexandria database.

Cell lengths 7.6986, 7.6986, 6.9617 Å; angles 90.00, 90.00, 120.00 degrees
Space group P-31m (No. 162)
Unique sites:
Tl 0.0000 0.0000 0.0000 [1 per cell]
Sb 0.3333 0.6667 0.5000 [2 per cell]
Br 0.0000 0.3628 0.7225 [6 per cell]

---

Entry ii
First-principles (PBE-GGA) data for an optimized crystal structure of TlSb2Br6, as listed in the Alexandria database.

Cell lengths 14.4880, 12.4567, 11.7814 Å; angles 90.00, 124.68, 90.00 degrees
Space group C2/c (No. 15)
Unique sites:
Tl 0.0000 0.0649 0.2500 [4 per cell]
Sb 0.1329 0.4589 0.2214 [8 per cell]
Br 0.1179 0.2564 0.1703 [8 per cell]
Br 0.1220 0.4805 0.4703 [8 per cell]
Br 0.1426 0.0468 0.6126 [8 per cell]

---

What should be chosen as the most stable of them? Choose entry ii.

---

Entry i
First-principles (PBE-GGA) data for an optimized crystal structure of TmSbBr, as listed in the Alexandria database.

Cell lengths 4.0176, 5.8173, 9.9691 Å; angles 95.48, 101.51, 110.18 degrees
Space group P-1 (No. 2)
Unique sites:
Tm 0.0316 0.2071 0.3553 [2 per cell]
Sb 0.3370 0.7858 0.3890 [2 per cell]
Br 0.4750 0.2823 0.1644 [2 per cell]

---

Entry ii
First-principles (PBE-GGA) data for an optimized crystal structure of TmSbBr, as listed in the Alexandria database.

Cell lengths 5.0210, 5.0210, 3.5830 Å; angles 90.00, 90.00, 120.00 degrees
Space group P-6m2 (No. 187)
Unique sites:
Tm 0.0000 0.0000 0.0000 [1 per cell]
Sb 0.6667 0.3333 0.5000 [1 per cell]
Br 0.3333 0.6667 0.0000 [1 per cell]

---

What should be chosen as the most stable of them? Choose entry i.

---

Entry i
First-principles (PBE-GGA) data for an optimized crystal structure of VSbBr2, as listed in the Alexandria database.

Cell lengths 3.5196, 3.5196, 29.9160 Å; angles 90.00, 90.00, 120.00 degrees
Space group R-3m (No. 166, hexagonal axes)
Unique sites:
V 0.0000 0.0000 0.0000 [3 per cell]
Sb 0.0000 0.0000 0.5000 [3 per cell]
Br 0.0000 0.0000 0.0809 [6 per cell]

---

Entry ii
First-principles (PBE-GGA) data for an optimized crystal structure of VSbBr2, as listed in the Alexandria database.

Cell lengths 3.5538, 3.5538, 35.2290 Å; angles 90.00, 90.00, 120.00 degrees
Space group R-3m (No. 166, hexagonal axes)
Unique sites:
V 0.0000 0.0000 0.0000 [3 per cell]
Sb 0.0000 0.0000 0.5000 [3 per cell]
Br 0.0000 0.0000 0.3783 [6 per cell]

---

Entry iii
First-principles (PBE-GGA) data for an optimized crystal structure of VSbBr2, as listed in the Alexandria database.

Cell lengths 7.2451, 7.2451, 7.2451 Å; angles 90.00, 90.00, 90.00 degrees
Space group Fm-3m (No. 225)
Unique sites:
V 0.0000 0.0000 0.0000 [4 per cell]
Sb 0.0000 0.0000 0.5000 [4 per cell]
Br 0.2500 0.2500 0.2500 [8 per cell]

---

What should be chosen as the most stable of them? Choose entry ii.